This record from the Open Quantum Materials Database describes crystalline PtS2 at its relaxed geometry. The functional is GGA-PBE.

* total DFT energy (no corrections): -51.9 eV per cell
* crystal system: tetragonal
* magnetic moment: 0.00 μB/f.u.

abc: 5.632 5.632 6.298
angles: 90.00 90.00 90.00
Space group I4/mcm (No. 140)
Inequivalent atoms, fractional coordinates:
Pt1 0.000 0.000 0.250
S1 0.129 0.371 0.000

***

This record from the Open Quantum Materials Database describes crystalline ErTm2Zn3AgAu2 at its relaxed geometry. The functional is GGA-PBE.

* total DFT energy (no corrections): -63.9 eV per cell
* crystal system: orthorhombic
* formation energy from the elements: -587 meV/atom
* magnetic moment: 0.01 μB/f.u.

abc: 3.806 12.912 7.453
angles: 90.00 90.00 90.00
Space group Amm2 (No. 38)
Inequivalent atoms, fractional coordinates:
Er1 0.000 0.000 0.000
Tm1 0.000 0.203 0.390
Zn1 0.500 0.000 0.335
Zn2 0.500 0.129 0.722
Ag1 0.000 0.000 0.593
Au1 0.500 0.167 0.094

***

This record from the Open Quantum Materials Database describes crystalline HoErZn2Si2 at its relaxed geometry. The functional is GGA-PBE.

* total DFT energy (no corrections): -52.5 eV per cell
* crystal system: hexagonal
* magnetic moment: 0.00 μB/f.u.

abc: 4.1243 4.1243 15.6209
angles: 90.00 90.00 120.00
Space group P6_3/mmc (No. 194)
Inequivalent atoms, fractional coordinates:
Ho1 0.0000 0.0000 0.0000
Er1 0.0000 0.0000 0.2500
Zn1 0.3333 0.6667 0.1379
Si1 0.3333 0.6667 0.6182

***

This record from the Open Quantum Materials Database describes crystalline ScBe2Re at its relaxed geometry. The functional is GGA-PBE.

* total DFT energy (no corrections): -98.7 eV per cell
* crystal system: cubic
* magnetic moment: 0.01 μB/f.u.

abc: 6.010 6.010 6.010
angles: 90.00 90.00 90.00
Space group F-43m (No. 216)
Inequivalent atoms, fractional coordinates:
Sc1 0.000 0.000 0.000
Be1 0.000 0.000 0.500
Be2 0.250 0.250 0.750
Re1 0.250 0.250 0.250

***

This record from the Open Quantum Materials Database describes crystalline RbLiNiMo at its relaxed geometry. The functional is GGA-PBE.

* total DFT energy (no corrections): -55.5 eV per cell
* crystal system: cubic
* magnetic moment: 3.91 μB/f.u.
* energy above the most stable polymorph in this dataset: 0.0 meV per atom

abc: 6.935 6.935 6.935
angles: 90.00 90.00 90.00
Space group F-43m (No. 216)
Inequivalent atoms, fractional coordinates:
Rb1 0.000 0.000 0.000
Li1 0.250 0.250 0.250
Ni1 0.250 0.250 0.750
Mo1 0.000 0.000 0.500